1.
RbTlZnF4, relaxed, DFT GGA-PBE; ΔE_f (raw) = -2.270 eV/atom
1.0
5.810 0.000 0.000
0.000 6.347 0.000
-2.106 0.000 7.662
Rb Tl Zn F
2 2 2 8
Direct
0.138 0.250 0.111
0.862 0.750 0.889
0.195 0.750 0.514
0.805 0.250 0.486
0.397 0.250 0.740
0.603 0.750 0.260
0.237 0.006 0.798
0.237 0.494 0.798
0.262 0.750 0.181
0.331 0.250 0.482
0.669 0.750 0.518
0.738 0.250 0.819
0.763 0.506 0.202
0.763 0.994 0.202

---

2.
Rb2ZrTlF6, relaxed, DFT GGA-PBE; ΔE_f (raw) = -2.796 eV/atom
1.0
-3.506 3.506 4.953
3.506 -3.506 4.953
3.506 3.506 -4.953
Rb Zr Tl F
2 1 1 6
Direct
0.250 0.750 0.500
0.750 0.250 0.500
0.000 0.000 0.000
0.500 0.500 0.000
0.207 0.207 0.000
0.207 0.207 0.414
0.207 0.793 0.000
0.793 0.207 0.000
0.793 0.793 0.000
0.793 0.793 0.586

---

3.
Rb2TmF4, relaxed, DFT GGA-PBE; ΔE_f (raw) = -3.152 eV/atom
1.0
4.307 0.000 0.000
0.000 4.307 0.000
0.000 0.000 21.310
Rb Tm F
4 2 8
Direct
0.000 0.000 0.150
0.000 0.000 0.850
0.500 0.500 0.350
0.500 0.500 0.650
0.000 0.000 0.500
0.500 0.500 0.000
0.000 0.000 0.401
0.000 0.000 0.599
0.000 0.500 0.000
0.000 0.500 0.500
0.500 0.000 0.000
0.500 0.000 0.500
0.500 0.500 0.099
0.500 0.500 0.901

---

4.
Rb4Tm6F19, relaxed, DFT GGA-PBE; ΔE_f (raw) = -3.538 eV/atom
1.0
-5.493 5.493 5.493
5.493 -5.493 5.493
5.493 5.493 -5.493
Rb Tm F
4 6 19
Direct
0.000 0.000 0.278
0.000 0.278 0.000
0.278 0.000 0.000
0.722 0.722 0.722
0.161 0.500 0.661
0.339 0.839 0.500
0.500 0.339 0.839
0.500 0.661 0.161
0.661 0.161 0.500
0.839 0.500 0.339
0.000 0.000 0.000
0.000 0.380 0.380
0.000 0.620 0.620
0.060 0.698 0.364
0.302 0.362 0.666
0.304 0.638 0.940
0.334 0.696 0.636
0.362 0.666 0.302
0.364 0.060 0.698
0.380 0.000 0.380
0.380 0.380 0.000
0.620 0.000 0.620
0.620 0.620 0.000
0.636 0.334 0.696
0.638 0.940 0.304
0.666 0.302 0.362
0.696 0.636 0.334
0.698 0.364 0.060
0.940 0.304 0.638

---

5.
RbTmF4, relaxed, DFT GGA-PBE; ΔE_f (raw) = -3.745 eV/atom
1.0
2.170 -8.871 0.000
2.170 8.871 0.000
0.000 0.000 6.463
Rb Tm F
2 2 8
Direct
0.190 0.810 0.500
0.810 0.190 0.000
0.417 0.583 0.503
0.583 0.417 0.003
0.079 0.921 0.004
0.330 0.670 0.724
0.332 0.668 0.276
0.498 0.502 0.758
0.502 0.498 0.258
0.668 0.332 0.776
0.670 0.330 0.224
0.921 0.079 0.504

---

6.
Rb2Tm3F10, relaxed, DFT GGA-PBE; ΔE_f (raw) = -3.636 eV/atom
1.0
10.139 -3.635 0.000
10.139 3.635 0.000
-3.279 0.000 7.850
Rb Tm F
4 6 20
Direct
0.106 0.106 0.166
0.214 0.214 0.862
0.786 0.786 0.138
0.894 0.894 0.834
0.239 0.761 0.500
0.312 0.312 0.485
0.419 0.419 0.042
0.581 0.581 0.958
0.688 0.688 0.515
0.761 0.239 0.500
0.000 0.500 0.500
0.042 0.042 0.418
0.134 0.569 0.030
0.201 0.581 0.475
0.251 0.251 0.227
0.318 0.682 0.000
0.361 0.361 0.764
0.419 0.799 0.525
0.431 0.866 0.970
0.479 0.479 0.325
0.500 0.000 0.500
0.521 0.521 0.675
0.569 0.134 0.030
0.581 0.201 0.475
0.639 0.639 0.236
0.682 0.318 0.000
0.749 0.749 0.773
0.799 0.419 0.525
0.866 0.431 0.970
0.958 0.958 0.582

---

7.
RbTm4F12, relaxed, DFT GGA-PBE; ΔE_f (raw) = -3.862 eV/atom
1.0
-4.347 4.347 4.347
4.347 -4.347 4.347
4.347 4.347 -4.347
Rb Tm F
1 4 12
Direct
0.000 0.000 0.000
0.000 0.000 0.500
0.000 0.500 0.000
0.500 0.000 0.000
0.500 0.500 0.500
0.001 0.241 0.760
0.240 0.481 0.241
0.240 0.999 0.759
0.241 0.240 0.481
0.241 0.760 0.001
0.481 0.241 0.240
0.519 0.759 0.760
0.759 0.240 0.999
0.759 0.760 0.519
0.760 0.001 0.241
0.760 0.519 0.759
0.999 0.759 0.240

---

Table of N(E_F) (states/eV per atom), in record order: 0.00 0.51 0.14 0.20 0.00 0.06 0.16